# 1
Material: AcSiH
Method: DFT, PBE
State: relaxed

Geometry as CIF:
```
data_AcSiH
_chemical_formula_sum 'Ac8 Si8 H8'
_cell_length_a 6.211
_cell_length_b 12.433
_cell_length_c 6.332
_cell_angle_alpha 90.00
_cell_angle_beta 90.00
_cell_angle_gamma 90.00
_symmetry_space_group_name_H-M 'C m c e'
_symmetry_Int_Tables_number 64
_symmetry_space_group_name_Hall '-C 2ac 2'
loop_
_atom_site_label
_atom_site_type_symbol
_atom_site_fract_x
_atom_site_fract_y
_atom_site_fract_z
Ac1 Ac 0.000 0.148 0.047
Si1 Si 0.000 0.090 0.565
H1 H 0.250 0.077 0.750
```

Calculated values
DFT total energy	-4.37	eV/atom
N(E_F)	0.56	states/eV/atom
relative energy among the computed polymorphs	0.570	eV per atom

=====

# 2
Material: Cu3RuF
Method: DFT, PBE
State: relaxed

Geometry as CIF:
```
data_Cu3RuF
_chemical_formula_sum 'Cu3 Ru1 F1'
_cell_length_a 4.645
_cell_length_b 4.645
_cell_length_c 4.645
_cell_angle_alpha 90.00
_cell_angle_beta 90.00
_cell_angle_gamma 90.00
_symmetry_space_group_name_H-M 'P m -3 m'
_symmetry_Int_Tables_number 221
_symmetry_space_group_name_Hall '-P 4 2 3'
loop_
_atom_site_label
_atom_site_type_symbol
_atom_site_fract_x
_atom_site_fract_y
_atom_site_fract_z
Cu1 Cu 0.000 0.000 0.500
Ru1 Ru 0.000 0.000 0.000
F1 F 0.500 0.500 0.500
```

Calculated values
DFT total energy	-3.57	eV/atom
ΔE_f (raw)	5.58	eV per formula unit
N(E_F)	0.72	states/eV/atom
relative energy among the computed polymorphs	0.610	eV per atom